Entry from Alexandria: AlCdAg at its PBEsol-relaxed geometry (meta-GGA SCAN).

POSCAR file:
```
AlCdAg
1.0
3.068 0.000 0.000
0.000 4.520 0.000
0.000 -2.260 3.914
Al Ag Cd
1 1 1
direct
0.833 0.667 0.333
0.833 0.000 0.000
0.333 0.333 0.667
```

Summary:
formation energy: 61 meV/atom
DOS at the Fermi energy: 0.92 states/eV per cell
uncorrected energy: -69.3 eV per cell
space group: P-6m2
energy relative to the lowest polymorph listed for this composition: 0.221 eV per formula unit